(1)
TiNi4GeO8 | SCAN | single point on PBEsol structure

The space group is F-43m (No. 216) and the conventional cell measures 8.223, 8.223 and 8.223 Å, with angles of 90.00, 90.00 and 90.00 degrees. The distinct sites, in fractional coordinates, are Ti at (0.000, 0.000, 0.000), Ni at (0.126, 0.126, 0.626), Ge at (0.250, 0.250, 0.250), O at (0.123, 0.123, 0.377) and O at (0.129, 0.129, 0.871).

For the electronic total energy, the calculation gives -12.579 eV/atom. The calculation puts the uncorrected formation energy at -1889 meV/atom.

---

(2)
Zr2NiGeOs | SCAN | single point on PBEsol structure

The space group is P4/mmm (No. 123) and the conventional cell measures 4.970, 4.970 and 4.573 Å, with angles of 90.00, 90.00 and 90.00 degrees. The distinct sites, in fractional coordinates, are Zr at (0.000, 0.500, 0.000), Ni at (0.000, 0.000, 0.500), Ge at (0.500, 0.500, 0.500) and Os at (0.500, 0.500, 0.000).

For the electronic total energy, the calculation gives -33.192 eV/atom.

---

(3)
NiGe3P | SCAN | single point on PBEsol structure

The space group is Pm-3m (No. 221) and the conventional cell measures 4.566, 4.566 and 4.566 Å, with angles of 90.00, 90.00 and 90.00 degrees. The distinct sites, in fractional coordinates, are Ni at (0.000, 0.000, 0.000), Ge at (0.000, 0.500, 0.500) and P at (0.500, 0.500, 0.500).

For the electronic total energy, the calculation gives -15.669 eV/atom.

---

(4)
NiGeP2S | SCAN | single point on PBEsol structure

The space group is P4/mmm (No. 123) and the conventional cell measures 4.241, 4.241 and 4.785 Å, with angles of 90.00, 90.00 and 90.00 degrees. The distinct sites, in fractional coordinates, are Ni at (0.000, 0.000, 0.000), Ge at (0.500, 0.500, 0.500), P at (0.000, 0.500, 0.000) and S at (0.000, 0.000, 0.500).

For the electronic total energy, the calculation gives -12.512 eV/atom. The calculation puts the uncorrected formation energy at 625 meV/atom.

---

(5)
NiGe3Pb | SCAN | single point on PBEsol structure

The space group is Pm-3m (No. 221) and the conventional cell measures 4.647, 4.647 and 4.647 Å, with angles of 90.00, 90.00 and 90.00 degrees. The distinct sites, in fractional coordinates, are Ni at (0.000, 0.000, 0.000), Ge at (0.000, 0.000, 0.500) and Pb at (0.500, 0.500, 0.500).

For the electronic total energy, the calculation gives -29.603 eV/atom.

---

(6)
Ni2Ge2Pd | SCAN | single point on PBEsol structure

The space group is I4/mmm (No. 139) and the conventional cell measures 3.595, 3.595 and 10.715 Å, with angles of 90.00, 90.00 and 90.00 degrees. The distinct sites, in fractional coordinates, are Ni at (0.000, 0.500, 0.250), Ge at (0.000, 0.000, 0.112) and Pd at (0.000, 0.000, 0.500).

For the electronic total energy, the calculation gives -20.798 eV/atom.

---

> The highest electronic total energy belongs to which entry?

NiGeP2S

---

> Number 3 is which compound?

NiGe3P